Material: CrInO2
Method: DFT, PBE+U
State: relaxed

Structure (CIF):
```
data_CrInO2
_chemical_formula_sum 'Cr2 In2 O4'
_symmetry_space_group_name_H-M 'P m n 21'
_symmetry_Int_Tables_number 31
_symmetry_space_group_name_Hall 'P 2ac -2'
_cell_length_a 3.074
_cell_length_b 7.524
_cell_length_c 4.808
_cell_angle_alpha 90.00
_cell_angle_beta 90.00
_cell_angle_gamma 90.00
loop_
_atom_site_label
_atom_site_fract_x
_atom_site_fract_y
_atom_site_fract_z
Cr1 0.000 0.135 0.000
In1 0.000 0.654 0.056
O1 0.000 0.014 0.373
O2 0.000 0.368 0.215
```

## Properties
Total energy, eV/atom: -6.182